This record from the Alexandria database describes a geometry-optimized YRe3 structure. The functional is PBE.

Geometry as POSCAR:
```
YRe3
1.0
-1.820 -2.302 -4.524
-0.768 -8.274 4.519
-5.183 1.267 1.440
Y Re
4 12
Cartesian
-5.906 -6.256 2.390
-2.046 -1.634 1.610
-5.725 -7.674 -0.175
-1.865 -3.052 -0.956
-1.494 -6.139 3.355
-4.950 0.415 0.449
-3.368 -7.054 1.361
-2.820 -9.724 0.986
-2.899 -4.553 1.600
-4.529 -1.061 -2.183
-3.241 -8.247 3.618
-4.403 -2.254 0.074
-4.872 -4.756 -0.165
-5.293 -3.279 2.466
-6.276 -3.170 -1.921
-2.478 -6.029 -1.032
```

Output
As for the formation energy: 292 meV per atom. For the energy above the most stable polymorph in this dataset, the calculation gives 28 meV per atom.